1.
A relaxed Ca3Th5As8 crystal. Source: Alexandria via LeMat-Bulk, functional PBE-GGA.

Structure (CIF):
```
data_Ca3Th5As8
_chemical_formula_sum 'Ca9 Th15 As24'
_cell_length_a 8.5372
_cell_length_b 8.5372
_cell_length_c 20.7883
_cell_angle_alpha 90.00
_cell_angle_beta 90.00
_cell_angle_gamma 120.00
_space_group_name_H-M_alt 'R -3 m'
_space_group_IT_number 166
_space_group_name_Hall '-R 3 2"'
loop_
_atom_site_label
_atom_site_type_symbol
_atom_site_fract_x
_atom_site_fract_y
_atom_site_fract_z
_atom_site_occupancy
Ca1 Ca 0.0000 0.5000 0.0000 1
Th1 Th 0.0000 0.0000 0.0000 1
Th2 Th 0.0000 0.0000 0.5000 1
Th3 Th 0.0000 0.5000 0.5000 1
As1 As 0.0000 0.0000 0.2471 1
As2 As 0.0014 0.5007 0.7507 1
```

DFT formation energy	-1.373	eV per atom

=====

2.
A relaxed Ca2AsCl crystal. Source: Alexandria via LeMat-Bulk, functional PBE-GGA.

Structure (CIF):
```
data_Ca2AsCl
_chemical_formula_sum 'Ca4 As2 Cl2'
_cell_length_a 3.888
_cell_length_b 3.969
_cell_length_c 14.455
_cell_angle_alpha 90.00
_cell_angle_beta 90.00
_cell_angle_gamma 90.00
_space_group_name_H-M_alt 'I m m 2'
_space_group_IT_number 44
_space_group_name_Hall 'I 2 -2'
loop_
_atom_site_label
_atom_site_type_symbol
_atom_site_fract_x
_atom_site_fract_y
_atom_site_fract_z
_atom_site_occupancy
Ca1 Ca 0.000 0.000 0.000 1
Ca2 Ca 0.000 0.500 0.215 1
As1 As 0.000 0.000 0.570 1
Cl1 Cl 0.000 0.500 0.813 1
```

energy relative to the elements, uncorrected	-548	kJ/mol of formula units

=====

3.
A relaxed La3Nd8Th2 crystal. Source: Alexandria via LeMat-Bulk, functional PBE-GGA.

Structure (CIF):
```
data_La3Nd8Th2
_chemical_formula_sum 'La6 Nd16 Th4'
_cell_length_a 7.144
_cell_length_b 8.651
_cell_length_c 15.748
_cell_angle_alpha 89.48
_cell_angle_beta 82.87
_cell_angle_gamma 77.48
_space_group_name_H-M_alt 'P -1'
_space_group_IT_number 2
_space_group_name_Hall '-P 1'
loop_
_atom_site_label
_atom_site_type_symbol
_atom_site_fract_x
_atom_site_fract_y
_atom_site_fract_z
_atom_site_occupancy
La1 La 0.000 0.000 0.000 1
La2 La 0.000 0.500 0.500 1
La3 La 0.316 0.054 0.192 1
La4 La 0.427 0.453 0.302 1
Nd1 Nd 0.048 0.569 0.718 1
Nd2 Nd 0.158 0.695 0.143 1
Nd3 Nd 0.196 0.916 0.772 1
Nd4 Nd 0.229 0.131 0.425 1
Nd5 Nd 0.290 0.789 0.551 1
Nd6 Nd 0.317 0.293 0.869 1
Nd7 Nd 0.400 0.203 0.638 1
Nd8 Nd 0.465 0.672 0.935 1
Th1 Th 0.010 0.356 0.070 1
Th2 Th 0.078 0.815 0.358 1
```

DFT formation energy	0.136	eV per atom

=====

4.
A relaxed Ca2MnPd2 crystal. Source: Alexandria via LeMat-Bulk, functional PBE-GGA.

Structure (CIF):
```
data_Ca2MnPd2
_chemical_formula_sum 'Ca4 Mn2 Pd4'
_cell_length_a 7.070
_cell_length_b 7.070
_cell_length_c 4.372
_cell_angle_alpha 90.00
_cell_angle_beta 90.00
_cell_angle_gamma 90.00
_space_group_name_H-M_alt 'P 4/m b m'
_space_group_IT_number 127
_space_group_name_Hall '-P 4 2ab'
loop_
_atom_site_label
_atom_site_type_symbol
_atom_site_fract_x
_atom_site_fract_y
_atom_site_fract_z
_atom_site_occupancy
Ca1 Ca 0.172 0.328 0.000 1
Mn1 Mn 0.000 0.000 0.500 1
Pd1 Pd 0.138 0.638 0.500 1
```

DFT formation energy	-0.380	eV per atom

=====

5.
A relaxed NaPrPdAu crystal. Source: Alexandria via LeMat-Bulk, functional PBE-GGA.

Structure (CIF):
```
data_NaPrPdAu
_chemical_formula_sum 'Na4 Pr4 Pd4 Au4'
_cell_length_a 7.172
_cell_length_b 7.172
_cell_length_c 7.172
_cell_angle_alpha 90.00
_cell_angle_beta 90.00
_cell_angle_gamma 90.00
_space_group_name_H-M_alt 'F -4 3 m'
_space_group_IT_number 216
_space_group_name_Hall 'F -4 2 3'
loop_
_atom_site_label
_atom_site_type_symbol
_atom_site_fract_x
_atom_site_fract_y
_atom_site_fract_z
_atom_site_occupancy
Na1 Na 0.000 0.000 0.000 1
Pr1 Pr 0.000 0.000 0.500 1
Pd1 Pd 0.250 0.250 0.250 1
Au1 Au 0.250 0.250 0.750 1
```

DFT formation energy	-0.509	eV per atom

=====

6.
A relaxed BaPtPb crystal. Source: Alexandria via LeMat-Bulk, functional PBE-GGA.

Structure (CIF):
```
data_BaPtPb
_chemical_formula_sum 'Ba1 Pt1 Pb1'
_cell_length_a 4.8277
_cell_length_b 4.8277
_cell_length_c 4.6659
_cell_angle_alpha 90.00
_cell_angle_beta 90.00
_cell_angle_gamma 120.00
_space_group_name_H-M_alt 'P -6 m 2'
_space_group_IT_number 187
_space_group_name_Hall 'P -6 2'
loop_
_atom_site_label
_atom_site_type_symbol
_atom_site_fract_x
_atom_site_fract_y
_atom_site_fract_z
_atom_site_occupancy
Ba1 Ba 0.0000 0.0000 0.0000 1
Pt1 Pt 0.3333 0.6667 0.5000 1
Pb1 Pb 0.6667 0.3333 0.5000 1
```

DFT formation energy	-0.574	eV per atom

=====

7.
A relaxed Tm4Ag3Au2 crystal. Source: Alexandria via LeMat-Bulk, functional PBE-GGA.

Structure (CIF):
```
data_Tm4Ag3Au2
_chemical_formula_sum 'Tm4 Ag3 Au2'
_cell_length_a 4.9203
_cell_length_b 4.9203
_cell_length_c 9.5830
_cell_angle_alpha 90.00
_cell_angle_beta 90.00
_cell_angle_gamma 120.00
_space_group_name_H-M_alt 'P -3 m 1'
_space_group_IT_number 164
_space_group_name_Hall '-P 3 2"'
loop_
_atom_site_label
_atom_site_type_symbol
_atom_site_fract_x
_atom_site_fract_y
_atom_site_fract_z
_atom_site_occupancy
Tm1 Tm 0.0000 0.0000 0.1661 1
Tm2 Tm 0.3333 0.6667 0.6155 1
Ag1 Ag 0.0000 0.0000 0.5000 1
Ag2 Ag 0.3333 0.6667 0.9929 1
Au1 Au 0.3333 0.6667 0.3072 1
```

DFT formation energy	-0.508	eV per atom

=====

8.
A relaxed ZnCoIr2 crystal. Source: Alexandria via LeMat-Bulk, functional PBE-GGA.

Structure (CIF):
```
data_ZnCoIr2
_chemical_formula_sum 'Zn2 Co2 Ir4'
_cell_length_a 3.833
_cell_length_b 3.833
_cell_length_c 7.262
_cell_angle_alpha 90.00
_cell_angle_beta 90.00
_cell_angle_gamma 90.00
_space_group_name_H-M_alt 'I 4/m m m'
_space_group_IT_number 139
_space_group_name_Hall '-I 4 2'
loop_
_atom_site_label
_atom_site_type_symbol
_atom_site_fract_x
_atom_site_fract_y
_atom_site_fract_z
_atom_site_occupancy
Zn1 Zn 0.000 0.000 0.000 1
Co1 Co 0.000 0.000 0.500 1
Ir1 Ir 0.000 0.500 0.250 1
```

DFT formation energy	0.028	eV per atom